No. 1
VASP calculation (PBE-GGA) on a relaxed Li2Ni2Bi crystal.

Geometry as CIF:
```
data_Li2Ni2Bi
_chemical_formula_sum 'Li4 Ni4 Bi2'
_cell_length_a 6.573
_cell_length_b 6.573
_cell_length_c 3.770
_cell_angle_alpha 90.00
_cell_angle_beta 90.00
_cell_angle_gamma 90.00
_symmetry_space_group_name_H-M 'P 1'
_symmetry_Int_Tables_number 1
loop_
_symmetry_equiv_pos_as_xyz
'x,y,z'
loop_
_atom_site_label
_atom_site_fract_x
_atom_site_fract_y
_atom_site_fract_z
Li1 0.161 0.339 0.000
Li2 0.339 0.839 0.000
Li3 0.661 0.161 0.000
Li4 0.839 0.661 0.000
Ni1 0.127 0.627 0.500
Ni2 0.373 0.127 0.500
Ni3 0.627 0.873 0.500
Ni4 0.873 0.373 0.500
Bi1 0.000 0.000 0.500
Bi2 0.500 0.500 0.500
```

Computed properties:
The space group is P4/mbm, No. 127. For the energy above the most stable polymorph in this dataset, the calculation gives 0.000 eV/atom. Its formation energy is 0.02 eV per atom. The electronic total energy comes out at -3.830 eV/atom.

=====

No. 2
VASP calculation (PBE-GGA) on a relaxed ScTcB2 crystal.

Geometry as CIF:
```
data_ScTcB2
_chemical_formula_sum 'Sc1 Tc1 B2'
_cell_length_a 5.805
_cell_length_b 5.805
_cell_length_c 5.805
_cell_angle_alpha 31.76
_cell_angle_beta 31.76
_cell_angle_gamma 31.76
_symmetry_space_group_name_H-M 'P 1'
_symmetry_Int_Tables_number 1
loop_
_symmetry_equiv_pos_as_xyz
'x,y,z'
loop_
_atom_site_label
_atom_site_fract_x
_atom_site_fract_y
_atom_site_fract_z
Sc1 0.000 0.000 0.000
Tc1 0.500 0.500 0.500
B1 0.240 0.240 0.240
B2 0.760 0.760 0.760
```

Computed properties:
The space group is R-3m, No. 166. For the energy above the most stable polymorph in this dataset, the calculation gives 0.268 eV/atom. Its formation energy is -0.24 eV per atom. The electronic total energy comes out at -7.755 eV/atom.

=====

No. 3
VASP calculation (PBE-GGA) on a relaxed TiNiS crystal.

Geometry as CIF:
```
data_TiNiS
_chemical_formula_sum 'Ti2 Ni2 S2'
_cell_length_a 4.420
_cell_length_b 4.420
_cell_length_c 6.974
_cell_angle_alpha 114.73
_cell_angle_beta 114.73
_cell_angle_gamma 45.33
_symmetry_space_group_name_H-M 'P 1'
_symmetry_Int_Tables_number 1
loop_
_symmetry_equiv_pos_as_xyz
'x,y,z'
loop_
_atom_site_label
_atom_site_fract_x
_atom_site_fract_y
_atom_site_fract_z
Ti1 0.223 0.223 0.175
Ti2 0.777 0.777 0.825
Ni1 0.382 0.382 0.593
Ni2 0.618 0.618 0.407
S1 0.057 0.057 0.786
S2 0.943 0.943 0.214
```

Computed properties:
The space group is C2/m, No. 12. The uncorrected formation energy is -0.71 eV/atom. The electronic total energy comes out at -6.643 eV/atom.

=====

No. 4
VASP calculation (PBE-GGA) on a relaxed NaHo2C crystal.

Geometry as CIF:
```
data_NaHo2C
_chemical_formula_sum 'Na1 Ho2 C1'
_cell_length_a 10.064
_cell_length_b 10.064
_cell_length_c 10.064
_cell_angle_alpha 20.23
_cell_angle_beta 20.23
_cell_angle_gamma 20.23
_symmetry_space_group_name_H-M 'P 1'
_symmetry_Int_Tables_number 1
loop_
_symmetry_equiv_pos_as_xyz
'x,y,z'
loop_
_atom_site_label
_atom_site_fract_x
_atom_site_fract_y
_atom_site_fract_z
Na1 0.000 0.000 0.000
Ho1 0.122 0.122 0.122
Ho2 0.878 0.878 0.878
C1 0.500 0.500 0.500
```

Computed properties:
The space group is R-3m, No. 166. For the energy above the most stable polymorph in this dataset, the calculation gives 0.000 eV/atom. Its formation energy is -0.13 eV per atom. The electronic total energy comes out at -5.052 eV/atom.

=====

No. 5
VASP calculation (PBE-GGA) on a relaxed Pm6HOs2Cl3 crystal.

Geometry as CIF:
```
data_Pm6HOs2Cl3
_chemical_formula_sum 'Pm6 H1 Os2 Cl3'
_cell_length_a 6.880
_cell_length_b 6.880
_cell_length_c 7.902
_cell_angle_alpha 98.40
_cell_angle_beta 98.40
_cell_angle_gamma 120.10
_symmetry_space_group_name_H-M 'P 1'
_symmetry_Int_Tables_number 1
loop_
_symmetry_equiv_pos_as_xyz
'x,y,z'
loop_
_atom_site_label
_atom_site_fract_x
_atom_site_fract_y
_atom_site_fract_z
Pm1 0.098 0.431 0.795
Pm2 0.235 0.235 0.203
Pm3 0.431 0.098 0.795
Pm4 0.569 0.902 0.205
Pm5 0.765 0.765 0.797
Pm6 0.902 0.569 0.205
H1 0.500 0.500 0.000
Os1 0.167 0.833 0.000
Os2 0.833 0.167 0.000
Cl1 0.000 0.000 0.500
Cl2 0.329 0.671 0.500
Cl3 0.671 0.329 0.500
```

Computed properties:
The space group is C2/m, No. 12. The electronic total energy comes out at -5.848 eV/atom.

=====

No. 6
VASP calculation (PBE-GGA) on a relaxed Tb5MgCd3 crystal.

Geometry as CIF:
```
data_Tb5MgCd3
_chemical_formula_sum 'Tb10 Mg2 Cd6'
_cell_length_a 9.225
_cell_length_b 9.225
_cell_length_c 6.729
_cell_angle_alpha 90.00
_cell_angle_beta 90.00
_cell_angle_gamma 120.00
_symmetry_space_group_name_H-M 'P 1'
_symmetry_Int_Tables_number 1
loop_
_symmetry_equiv_pos_as_xyz
'x,y,z'
loop_
_atom_site_label
_atom_site_fract_x
_atom_site_fract_y
_atom_site_fract_z
Tb1 0.000 0.314 0.250
Tb2 0.000 0.686 0.750
Tb3 0.314 0.000 0.250
Tb4 0.314 0.314 0.750
Tb5 0.333 0.667 0.000
Tb6 0.333 0.667 0.500
Tb7 0.667 0.333 0.000
Tb8 0.667 0.333 0.500
Tb9 0.686 0.000 0.750
Tb10 0.686 0.686 0.250
Mg1 0.000 0.000 0.000
Mg2 0.000 0.000 0.500
Cd1 0.000 0.350 0.750
Cd2 0.000 0.650 0.250
Cd3 0.350 0.000 0.750
Cd4 0.350 0.350 0.250
Cd5 0.650 0.000 0.250
Cd6 0.650 0.650 0.750
```

Computed properties:
The space group is P6_3/mcm, No. 193. Its formation energy is -0.18 eV per atom. The electronic total energy comes out at -3.239 eV/atom.

=====

No. 7
VASP calculation (PBE-GGA) on a relaxed Ac2Ga3Ni2 crystal.

Geometry as CIF:
```
data_Ac2Ga3Ni2
_chemical_formula_sum 'Ac2 Ga3 Ni2'
_cell_length_a 5.970
_cell_length_b 5.970
_cell_length_c 7.410
_cell_angle_alpha 118.37
_cell_angle_beta 118.37
_cell_angle_gamma 40.47
_symmetry_space_group_name_H-M 'P 1'
_symmetry_Int_Tables_number 1
loop_
_symmetry_equiv_pos_as_xyz
'x,y,z'
loop_
_atom_site_label
_atom_site_fract_x
_atom_site_fract_y
_atom_site_fract_z
Ac1 0.135 0.135 0.269
Ac2 0.865 0.865 0.731
Ga1 0.348 0.348 0.066
Ga2 0.500 0.500 0.500
Ga3 0.652 0.652 0.934
Ni1 0.132 0.132 0.706
Ni2 0.868 0.868 0.294
```

Computed properties:
The space group is C2/m, No. 12. For the energy above the most stable polymorph in this dataset, the calculation gives 0.000 eV/atom. Its formation energy is -0.47 eV per atom. The electronic total energy comes out at -4.591 eV/atom.

=====

No. 8
VASP calculation (PBE-GGA) on a relaxed PmYZnHg crystal.

Geometry as CIF:
```
data_PmYZnHg
_chemical_formula_sum 'Pm1 Y1 Zn1 Hg1'
_cell_length_a 3.653
_cell_length_b 3.653
_cell_length_c 7.556
_cell_angle_alpha 90.00
_cell_angle_beta 90.00
_cell_angle_gamma 90.00
_symmetry_space_group_name_H-M 'P 1'
_symmetry_Int_Tables_number 1
loop_
_symmetry_equiv_pos_as_xyz
'x,y,z'
loop_
_atom_site_label
_atom_site_fract_x
_atom_site_fract_y
_atom_site_fract_z
Pm1 0.000 0.000 0.000
Y1 0.000 0.000 0.467
Zn1 0.500 0.500 0.245
Hg1 0.500 0.500 0.721
```

Computed properties:
The space group is P4mm, No. 99. For the energy above the most stable polymorph in this dataset, the calculation gives 0.000 eV/atom. Its formation energy is -0.42 eV per atom. The electronic total energy comes out at -3.613 eV/atom.

=====

No. 9
VASP calculation (PBE-GGA) on a relaxed Mn2ZnCdFe crystal.

Geometry as CIF:
```
data_Mn2ZnCdFe
_chemical_formula_sum 'Mn2 Zn1 Cd1 Fe1'
_cell_length_a 4.973
_cell_length_b 4.973
_cell_length_c 4.751
_cell_angle_alpha 90.00
_cell_angle_beta 90.00
_cell_angle_gamma 90.00
_symmetry_space_group_name_H-M 'P 1'
_symmetry_Int_Tables_number 1
loop_
_symmetry_equiv_pos_as_xyz
'x,y,z'
loop_
_atom_site_label
_atom_site_fract_x
_atom_site_fract_y
_atom_site_fract_z
Mn1 0.000 0.500 0.000
Mn2 0.500 0.000 0.000
Zn1 0.000 0.000 0.500
Cd1 0.000 0.000 0.000
Fe1 0.500 0.500 0.500
```

Computed properties:
The space group is P4/mmm, No. 123. Its formation energy is 1.50 eV per atom. The electronic total energy comes out at -4.293 eV/atom.

=====

No. 10
VASP calculation (PBE-GGA) on a relaxed Pm3NpRu3 crystal.

Geometry as CIF:
```
data_Pm3NpRu3
_chemical_formula_sum 'Pm6 Np2 Ru6'
_cell_length_a 6.423
_cell_length_b 6.423
_cell_length_c 14.682
_cell_angle_alpha 112.24
_cell_angle_beta 112.24
_cell_angle_gamma 36.77
_symmetry_space_group_name_H-M 'P 1'
_symmetry_Int_Tables_number 1
loop_
_symmetry_equiv_pos_as_xyz
'x,y,z'
loop_
_atom_site_label
_atom_site_fract_x
_atom_site_fract_y
_atom_site_fract_z
Pm1 0.032 0.032 0.296
Pm2 0.176 0.176 0.572
Pm3 0.374 0.374 0.866
Pm4 0.626 0.626 0.134
Pm5 0.824 0.824 0.428
Pm6 0.968 0.968 0.704
Np1 0.333 0.333 0.104
Np2 0.667 0.667 0.896
Ru1 0.091 0.091 0.963
Ru2 0.321 0.321 0.255
Ru3 0.461 0.461 0.569
Ru4 0.539 0.539 0.431
Ru5 0.679 0.679 0.745
Ru6 0.909 0.909 0.037
```

Computed properties:
The space group is C2/m, No. 12. Its formation energy is -0.15 eV per atom. The electronic total energy comes out at -8.011 eV/atom.

=====

Copy entry 6 word for word.
VASP calculation (PBE-GGA) on a relaxed Tb5MgCd3 crystal.

Geometry as CIF:
```
data_Tb5MgCd3
_chemical_formula_sum 'Tb10 Mg2 Cd6'
_cell_length_a 9.225
_cell_length_b 9.225
_cell_length_c 6.729
_cell_angle_alpha 90.00
_cell_angle_beta 90.00
_cell_angle_gamma 120.00
_symmetry_space_group_name_H-M 'P 1'
_symmetry_Int_Tables_number 1
loop_
_symmetry_equiv_pos_as_xyz
'x,y,z'
loop_
_atom_site_label
_atom_site_fract_x
_atom_site_fract_y
_atom_site_fract_z
Tb1 0.000 0.314 0.250
Tb2 0.000 0.686 0.750
Tb3 0.314 0.000 0.250
Tb4 0.314 0.314 0.750
Tb5 0.333 0.667 0.000
Tb6 0.333 0.667 0.500
Tb7 0.667 0.333 0.000
Tb8 0.667 0.333 0.500
Tb9 0.686 0.000 0.750
Tb10 0.686 0.686 0.250
Mg1 0.000 0.000 0.000
Mg2 0.000 0.000 0.500
Cd1 0.000 0.350 0.750
Cd2 0.000 0.650 0.250
Cd3 0.350 0.000 0.750
Cd4 0.350 0.350 0.250
Cd5 0.650 0.000 0.250
Cd6 0.650 0.650 0.750
```

Computed properties:
The space group is P6_3/mcm, No. 193. Its formation energy is -0.18 eV per atom. The electronic total energy comes out at -3.239 eV/atom.

=====

- What is the electronic total energy in the tenth record?
  -8.011 eV/atom

=====

- Which of these has the highest electronic total energy?
  Tb5MgCd3

=====

- Which formula does entry 7 have?
  Ac2Ga3Ni2